Entry P
Material: La2FeCl
Method: DFT, PBE-GGA
State: relaxed

abc: 3.511 3.511 8.118
angles: 90.00 90.00 102.87
Site moments in Bohr magnetons follow the coordinates.
Element x y z (fractional)
Cl: 0.500 0.500 0.250  -0.01
Fe: 0.500 0.500 0.750  0.79
La: 0.000 0.000 0.959  -0.14
La: 0.000 0.000 0.541  -0.14

Crystal system   orthorhombic
Spin magnetization   0.3 μB per cell
Space group   No. 65

***

Entry Q
Material: La2FeCl
Method: DFT, PBE-GGA
State: relaxed

abc: 3.448 3.448 8.043
angles: 90.00 90.00 90.00
Site moments in Bohr magnetons follow the coordinates.
Element x y z (fractional)
Cl: 0.500 0.500 0.250  -0.01
Fe: 0.500 0.500 0.750  0.85
La: 0.000 0.000 0.961  -0.16
La: 0.000 0.000 0.539  -0.16

Crystal system   tetragonal
Spin magnetization   0.3 μB per cell
Space group   No. 123

***

Most stable one: entry P, least stable one: entry Q.

***

Entry P
Material: LaFe3Cl
Method: DFT, PBE-GGA
State: relaxed

abc: 4.348 4.348 4.348
angles: 90.00 90.00 90.00
Site moments in Bohr magnetons follow the coordinates.
Element x y z (fractional)
Cl: 0.000 0.000 0.000  0.03
Fe: 0.000 0.500 0.000  1.76
Fe: 0.000 0.000 0.500  1.50
Fe: 0.500 0.000 0.000  1.88
La: 0.500 0.500 0.500  -0.32

Crystal system   cubic
Spin magnetization   4.3 μB per cell
Space group   No. 221

***

Entry Q
Material: LaFe3Cl
Method: DFT, PBE-GGA
State: relaxed

abc: 4.762 4.762 4.762
angles: 90.00 90.00 90.00
Site moments in Bohr magnetons follow the coordinates.
Element x y z (fractional)
Cl: 0.500 0.500 0.500  0.07
Fe: 0.000 0.500 0.000  2.17
Fe: 0.000 0.000 0.500  2.11
Fe: 0.500 0.000 0.000  2.00
La: 0.000 0.000 0.000  -0.42

Crystal system   cubic
Spin magnetization   5.9 μB per cell
Space group   No. 221

***

Most stable one: entry P, least stable one: entry Q.

***

Entry P
Material: LiFeCl2
Method: DFT, PBE-GGA
State: relaxed

abc: 4.742 4.742 4.742
angles: 60.00 60.00 60.00
Site moments in Bohr magnetons follow the coordinates.
Element x y z (fractional)
Cl: 0.000 0.000 0.000  0.04
Cl: 0.250 0.250 0.250  0.03
Fe: 0.500 0.500 0.500  2.99
Li: 0.750 0.750 0.750  -0.02

Crystal system   cubic
Spin magnetization   3.2 μB per cell
Space group   No. 216

***

Entry Q
Material: LiFeCl2
Method: DFT, PBE-GGA
State: relaxed

abc: 4.489 4.489 4.489
angles: 60.00 60.00 60.00
Site moments in Bohr magnetons follow the coordinates.
Element x y z (fractional)
Li: 0.000 0.000 0.000  -0.01
Fe: 0.500 0.500 0.500  2.84
Cl: 0.250 0.250 0.250  0.06
Cl: 0.750 0.750 0.750  0.06

Crystal system   cubic
Spin magnetization   3.0 μB per cell
Space group   No. 225

***

Entry R
Material: LiFeCl2
Method: DFT, PBE-GGA
State: relaxed

abc: 3.298 3.455 6.834
angles: 103.84 90.00 90.00
Site moments in Bohr magnetons follow the coordinates.
Element x y z (fractional)
Cl: 0.000 0.149 0.983  0.04
Cl: 0.000 0.351 0.517  0.04
Fe: 0.500 0.250 0.250  2.93
Li: 0.500 0.750 0.750  0.01

Crystal system   monoclinic
Spin magnetization   3.0 μB per cell
Space group   No. 10

***

Most stable one: entry R, least stable one: entry P.

***

Entry P
Material: LiFeCl2
Method: DFT, PBE-GGA
State: relaxed

abc: 6.501 6.501 6.501
angles: 149.93 151.17 42.15
Site moments in Bohr magnetons follow the coordinates.
Element x y z (fractional)
Cl: 0.044 0.044 0.000  0.07
Cl: 0.295 0.795 0.500  0.04
Fe: 0.447 0.447 0.000  2.92
Li: 0.714 0.214 0.500  -0.01

Crystal system   orthorhombic
Spin magnetization   3.0 μB per cell
Space group   No. 44

***

Entry Q
Material: LiFeCl2
Method: DFT, PBE-GGA
State: relaxed

abc: 3.412 7.704 3.422
angles: 90.00 90.00 90.00
Site moments in Bohr magnetons follow the coordinates.
Element x y z (fractional)
Cl: 0.000 0.000 0.000  0.07
Cl: 0.500 0.500 0.000  0.00
Fe: 0.500 0.000 0.500  2.88
Li: 0.000 0.500 0.500  0.00

Crystal system   orthorhombic
Spin magnetization   3.0 μB per cell
Space group   No. 47

***

Most stable one: entry P, least stable one: entry Q.

***

Entry P
Material: LiFeCl2
Method: DFT, PBE-GGA
State: relaxed

abc: 3.595 3.588 5.148
angles: 90.00 90.00 90.00
Site moments in Bohr magnetons follow the coordinates.
Element x y z (fractional)
Cl: 0.000 0.000 0.876  0.03
Cl: 0.500 0.500 0.374  0.06
Fe: 0.000 0.000 0.378  2.84
Li: 0.500 0.500 0.873  0.00

Crystal system   tetragonal
Spin magnetization   3.0 μB per cell
Space group   No. 99

***

Entry Q
Material: LiFeCl2
Method: DFT, PBE-GGA
State: relaxed

abc: 5.002 3.564 4.043
angles: 77.21 90.00 90.00
Site moments in Bohr magnetons follow the coordinates.
Element x y z (fractional)
Cl: 0.000 0.952 0.917  0.06
Cl: 0.500 0.417 0.413  0.03
Fe: 0.000 0.321 0.339  2.85
Li: 0.500 0.811 0.830  0.00

Crystal system   monoclinic
Spin magnetization   3.0 μB per cell
Space group   No. 6

***

Most stable one: entry Q, least stable one: entry P.

***

Entry P
Material: LiFeCl2
Method: DFT, PBE-GGA
State: relaxed

abc: 3.617 3.617 7.010
angles: 90.00 90.00 124.34
Site moments in Bohr magnetons follow the coordinates.
Element x y z (fractional)
Cl: 0.000 0.000 0.995  0.03
Cl: 0.000 0.000 0.505  0.03
Fe: 0.500 0.500 0.250  2.93
Li: 0.500 0.500 0.750  0.01

Crystal system   orthorhombic
Spin magnetization   3.0 μB per cell
Space group   No. 65

***

Entry Q
Material: LiFeCl2
Method: DFT, PBE-GGA
State: relaxed

abc: 7.873 7.873 7.873
angles: 28.87 28.87 28.87
Site moments in Bohr magnetons follow the coordinates.
Element x y z (fractional)
Cl: 0.040 0.040 0.040  0.00
Cl: 0.220 0.220 0.220  0.06
Fe: 0.546 0.546 0.546  2.87
Li: 0.694 0.694 0.694  0.00

Crystal system   trigonal
Spin magnetization   3.0 μB per cell
Space group   No. 160

***

Most stable one: entry Q, least stable one: entry P.

***

Entry P
Material: LiFeCl2
Method: DFT, PBE-GGA
State: relaxed

abc: 5.386 5.386 5.386
angles: 142.67 91.21 100.59
Site moments in Bohr magnetons follow the coordinates.
Element x y z (fractional)
Cl: 0.007 0.007 0.000  0.04
Cl: 0.493 0.493 0.000  0.04
Fe: 0.250 0.750 0.500  2.84
Li: 0.750 0.250 0.500  0.01

Crystal system   orthorhombic
Spin magnetization   3.0 μB per cell
Space group   No. 71

***

Entry Q
Material: LiFeCl2
Method: DFT, PBE-GGA
State: relaxed

abc: 4.554 4.554 3.151
angles: 90.00 90.00 90.00
Site moments in Bohr magnetons follow the coordinates.
Element x y z (fractional)
Cl: 0.000 0.000 0.000  0.05
Cl: 0.500 0.500 0.000  0.05
Fe: 0.500 0.000 0.500  2.90
Li: 0.000 0.500 0.500  -0.01

Crystal system   tetragonal
Spin magnetization   3.1 μB per cell
Space group   No. 123

***

Most stable one: entry P, least stable one: entry Q.

***

Entry P
Material: LiFeCl
Method: DFT, PBE-GGA
State: relaxed

abc: 5.797 5.797 5.797
angles: 150.31 150.31 42.49
Site moments in Bohr magnetons follow the coordinates.
Element x y z (fractional)
Cl: 0.004 0.004 0.000  0.07
Fe: 0.347 0.347 0.000  2.96
Li: 0.649 0.649 0.000  -0.03

Crystal system   tetragonal
Spin magnetization   3.0 μB per cell
Space group   No. 107

***

Entry Q
Material: LiFeCl
Method: DFT, PBE-GGA
State: relaxed

abc: 4.037 4.037 4.037
angles: 60.00 60.00 60.00
Site moments in Bohr magnetons follow the coordinates.
Element x y z (fractional)
Cl: 0.500 0.500 0.500  0.05
Fe: 0.750 0.750 0.750  2.39
Li: 0.000 0.000 0.000  -0.04

Crystal system   cubic
Spin magnetization   2.3 μB per cell
Space group   No. 216

***

Most stable one: entry P, least stable one: entry Q.

***

Entry P
Material: LiFe3Cl
Method: DFT, PBE-GGA
State: relaxed

abc: 4.263 4.263 4.263
angles: 90.00 90.00 90.00
Site moments in Bohr magnetons follow the coordinates.
Element x y z (fractional)
Li: 0.000 0.000 0.000  -0.14
Fe: 0.000 0.500 0.000  2.94
Fe: 0.000 0.000 0.500  2.92
Fe: 0.500 0.000 0.000  2.66
Cl: 0.500 0.500 0.500  0.13

Crystal system   cubic
Spin magnetization   8.6 μB per cell
Space group   No. 221

***

Entry Q
Material: LiFe3Cl
Method: DFT, PBE-GGA
State: relaxed

abc: 4.151 4.151 4.151
angles: 90.00 90.00 90.00
Site moments in Bohr magnetons follow the coordinates.
Element x y z (fractional)
Li: 0.500 0.500 0.500  -0.06
Fe: 0.000 0.500 0.000  2.13
Fe: 0.000 0.000 0.500  2.00
Fe: 0.500 0.000 0.000  2.28
Cl: 0.000 0.000 0.000  0.03

Crystal system   cubic
Spin magnetization   6.0 μB per cell
Space group   No. 221

***

Most stable one: entry Q, least stable one: entry P.

***

Entry P
Material: Li2FeCl
Method: DFT, PBE-GGA
State: relaxed

abc: 3.228 3.228 6.967
angles: 90.00 90.00 90.00
Site moments in Bohr magnetons follow the coordinates.
Element x y z (fractional)
Cl: 0.000 0.000 0.373  -0.01
Fe: 0.500 0.500 0.823  3.07
Li: 0.000 0.000 0.023  -0.07
Li: 0.500 0.500 0.281  -0.02

Crystal system   tetragonal
Spin magnetization   2.9 μB per cell
Space group   No. 99

***

Entry Q
Material: Li2FeCl
Method: DFT, PBE-GGA
State: relaxed

abc: 3.188 3.266 6.333
angles: 75.08 90.00 90.00
Site moments in Bohr magnetons follow the coordinates.
Element x y z (fractional)
Cl: 0.000 0.727 0.421  0.02
Fe: 0.500 0.544 0.787  3.02
Li: 0.000 0.933 0.009  -0.06
Li: 0.500 0.296 0.282  -0.02

Crystal system   orthorhombic
Spin magnetization   2.9 μB per cell
Space group   No. 38

***

Entry R
Material: Li2FeCl
Method: DFT, PBE-GGA
State: relaxed

abc: 4.464 4.464 3.164
angles: 89.95 89.95 90.07
Site moments in Bohr magnetons follow the coordinates.
Element x y z (fractional)
Cl: 0.500 0.000 0.500  0.04
Fe: 0.000 0.500 0.500  2.90
Li: 0.000 0.000 0.000  -0.03
Li: 0.500 0.500 0.000  -0.03

Crystal system   orthorhombic
Spin magnetization   3.0 μB per cell
Space group   No. 65

***

Most stable one: entry Q, least stable one: entry R.

***

Entry P
Material: Li2FeCl
Method: DFT, PBE-GGA
State: relaxed

abc: 3.070 3.070 8.089
angles: 78.77 78.77 60.10
Site moments in Bohr magnetons follow the coordinates.
Element x y z (fractional)
Cl: 0.750 0.750 0.750  -0.01
Fe: 0.250 0.250 0.250  2.98
Li: 0.014 0.014 0.953  -0.03
Li: 0.486 0.486 0.547  -0.03

Crystal system   monoclinic
Spin magnetization   2.8 μB per cell
Space group   No. 12

***

Entry Q
Material: Li2FeCl
Method: DFT, PBE-GGA
State: relaxed

abc: 5.839 5.839 5.839
angles: 144.41 144.41 51.22
Site moments in Bohr magnetons follow the coordinates.
Element x y z (fractional)
Cl: 0.500 0.500 0.000  0.06
Fe: 0.750 0.250 0.500  3.04
Li: 0.000 0.000 0.000  -0.03
Li: 0.250 0.750 0.500  -0.06

Crystal system   tetragonal
Spin magnetization   3.0 μB per cell
Space group   No. 119

***

Entry R
Material: Li2FeCl
Method: DFT, PBE-GGA
State: relaxed

abc: 4.501 4.501 4.501
angles: 60.00 60.00 60.00
Site moments in Bohr magnetons follow the coordinates.
Element x y z (fractional)
Cl: 0.500 0.500 0.500  0.03
Fe: 0.750 0.750 0.750  2.67
Li: 0.000 0.000 0.000  -0.05
Li: 0.250 0.250 0.250  -0.04

Crystal system   cubic
Spin magnetization   2.5 μB per cell
Space group   No. 216

***

Entry S
Material: Li2FeCl
Method: DFT, PBE-GGA
State: relaxed

abc: 7.859 7.859 3.028
angles: 79.19 79.19 21.63
Site moments in Bohr magnetons follow the coordinates.
Element x y z (fractional)
Cl: 0.451 0.451 0.543  -0.01
Fe: 0.196 0.196 0.308  2.89
Li: 0.030 0.030 0.966  -0.02
Li: 0.823 0.823 0.683  -0.05

Crystal system   monoclinic
Spin magnetization   2.6 μB per cell
Space group   No. 8

***

Most stable one: entry P, least stable one: entry R.

***

Entry P
Material: Li2FeCl
Method: DFT, PBE-GGA
State: relaxed

abc: 3.001 3.001 6.773
angles: 90.00 90.00 92.29
Site moments in Bohr magnetons follow the coordinates.
Element x y z (fractional)
Cl: 0.500 0.500 0.250  0.01
Fe: 0.500 0.500 0.750  2.85
Li: 0.000 0.000 0.033  -0.03
Li: 0.000 0.000 0.467  -0.03

Crystal system   orthorhombic
Spin magnetization   2.7 μB per cell
Space group   No. 65

***

Entry Q
Material: Li2FeCl
Method: DFT, PBE-GGA
State: relaxed

abc: 6.717 6.717 5.818
angles: 54.74 54.74 90.00
Site moments in Bohr magnetons follow the coordinates.
Element x y z (fractional)
Li: 0.577 0.125 0.250  -0.03
Li: 0.173 0.625 0.250  -0.03
Li: 0.375 0.423 0.750  -0.03
Li: 0.875 0.827 0.750  -0.03
Fe: 0.000 0.000 0.000  3.07
Fe: 0.750 0.250 0.500  3.07
Cl: 0.500 0.500 0.000  0.02
Cl: 0.250 0.750 0.500  0.02

Crystal system   tetragonal
Spin magnetization   6.0 μB per cell
Space group   No. 122

***

Most stable one: entry P, least stable one: entry Q.